# 1
This record from Alexandria describes a relaxed Cu2Tc crystal. The functional is GGA-PBE.

```
Cu2Tc
1.0
0.000 3.351 3.351
3.351 0.000 3.351
3.351 3.351 0.000
Cu Tc
4 2
direct
0.625 0.625 0.625
0.625 0.625 0.125
0.625 0.125 0.625
0.125 0.625 0.625
0.250 0.250 0.250
0.000 0.000 0.000
```

Results
calculated volume = 38 Å³/f.u.
excess energy over the best structure of this formula in the dataset = 0.13 eV/f.u.



# 2
This record from Alexandria describes a relaxed CuTc3 crystal. The functional is GGA-PBE.

```
CuTc3
1.0
4.823 0.000 0.000
0.000 4.823 0.000
0.000 0.000 4.823
Tc Cu
6 2
direct
0.250 0.500 0.000
0.500 0.000 0.250
0.500 0.000 0.750
0.000 0.750 0.500
0.750 0.500 0.000
0.000 0.250 0.500
0.500 0.500 0.500
0.000 0.000 0.000
```

Results
calculated volume = 56 Å³/f.u.
excess energy over the best structure of this formula in the dataset = 0.29 eV/f.u.



# 3
This record from Alexandria describes a relaxed Cu5Tc crystal. The functional is GGA-PBE.

```
Cu5Tc
1.0
-2.302 0.430 4.085
-2.227 -1.686 -3.791
1.131 -3.833 1.041
Cu Tc
5 1
direct
0.333 0.667 0.000
0.667 0.333 0.000
0.500 0.000 0.500
0.000 0.500 0.500
0.500 0.500 0.500
0.000 0.000 0.000
```

Results
calculated volume = 79 Å³/f.u.
excess energy over the best structure of this formula in the dataset = 1.66 eV/f.u.